1.
A plane-wave DFT calculation with PBE was carried out for an optimized crystal structure of SrTc2H8.

The space group is Cm (No. 8) and the conventional cell measures 4.933, 8.525 and 4.628 Å, with angles of 90.00, 90.01 and 90.00 degrees. The asymmetric unit holds Sr at (0.000, 0.000, 0.000), Tc at (0.003, 0.333, 0.490), H at (0.006, 0.331, 0.853), H at (0.096, 0.500, 0.274), H at (0.204, 0.201, 0.276), H at (0.304, 0.000, 0.601) and H at (0.355, 0.353, 0.590).

Its uncorrected energy is -4.560 eV/atom.



2.
A plane-wave DFT calculation with PBE was carried out for an optimized crystal structure of Nb3ReW.

The space group is R-3m (No. 166, hexagonal axes) and the conventional cell measures 4.5814, 4.5814 and 27.9537 Å, with angles of 90.00, 90.00 and 120.00 degrees. The asymmetric unit holds Nb at (0.0000, 0.0000, 0.0492), Nb at (0.0000, 0.0000, 0.2511), Nb at (0.0000, 0.0000, 0.4490), Re at (0.0000, 0.0000, 0.3488) and W at (0.0000, 0.0000, 0.1507).

Its uncorrected energy is -11.268 eV/atom. For the offset from the most stable computed form, the calculation gives 0.031 eV/atom. For the formation energy, the calculation gives -0.146 eV/atom.



3.
A plane-wave DFT calculation with PBE was carried out for an optimized crystal structure of SbMo.

The space group is P4_2/mnm (No. 136) and the conventional cell measures 5.905, 5.905 and 5.393 Å, with angles of 90.00, 90.00 and 90.00 degrees. The asymmetric unit holds Sb at (0.202, 0.202, 0.000) and Mo at (0.142, 0.142, 0.500).

The value obtained for the formation energy from raw total energies is 1.25 eV/f.u. Its uncorrected energy is -6.851 eV/atom.



4.
A plane-wave DFT calculation with PBE was carried out for an optimized crystal structure of RbTiTlO3.

The space group is C2/c (No. 15) and the conventional cell measures 6.813, 12.920 and 5.498 Å, with angles of 90.00, 100.64 and 90.00 degrees. The asymmetric unit holds Rb at (0.000, 0.094, 0.250), Ti at (0.000, 0.454, 0.250), Tl at (0.000, 0.289, 0.750), O at (0.000, 0.314, 0.250) and O at (0.178, 0.469, 0.987).

The value obtained for the formation energy from raw total energies is -12.52 eV/f.u. Its uncorrected energy is -6.437 eV/atom.



5.
A plane-wave DFT calculation with PBE was carried out for an optimized crystal structure of YSc4Cd.

The space group is F-43m (No. 216) and the conventional cell measures 8.530, 8.530 and 8.530 Å, with angles of 90.00, 90.00 and 90.00 degrees. The asymmetric unit holds Y at (0.000, 0.000, 0.000), Sc at (0.126, 0.126, 0.374) and Cd at (0.250, 0.250, 0.750).

Its uncorrected energy is -5.301 eV/atom. For the offset from the most stable computed form, the calculation gives 0.149 eV/atom. For the formation energy, the calculation gives 0.150 eV/atom.



6.
A plane-wave DFT calculation with PBE was carried out for an optimized crystal structure of K3VN.

The space group is Pm-3m (No. 221) and the conventional cell measures 5.633, 5.633 and 5.633 Å, with angles of 90.00, 90.00 and 90.00 degrees. The asymmetric unit holds K at (0.000, 0.000, 0.500), V at (0.500, 0.500, 0.500) and N at (0.000, 0.000, 0.000).

The value obtained for the formation energy from raw total energies is 5.73 eV/f.u. Its uncorrected energy is -3.001 eV/atom. For the offset from the most stable computed form, the calculation gives 0.000 eV/atom.